# NdV2ReO8

An optimized crystal structure of NdV2ReO8 (PBE+U, the Alexandria database).

Values from the calculation:
- theoretical density (Mg/m³) = 6.3
- crystal system = orthorhombic
- M_tot (μB/atom) = 0.335
- electronic total energy (eV per atom) = -8.054

Cell lengths 4.751, 4.751, 6.502 Å; angles 90.00, 90.00, 92.59 degrees
Atoms (fractional coordinates):
Nd  0.000  0.000  0.000
V  0.500  0.500  0.246
V  0.500  0.500  0.754
Re  0.000  0.000  0.500
O  0.213  0.213  0.291
O  0.213  0.213  0.709
O  0.283  0.717  0.500
O  0.330  0.670  0.000
O  0.670  0.330  0.000
O  0.717  0.283  0.500
O  0.787  0.787  0.291
O  0.787  0.787  0.709